No. 1
ScNbBr3 | GGA-PBEsol | relaxed

Calculated values
Crystal system: cubic
Distance to the lowest polymorph of the same formula: 7.7 kJ per mole of atoms
Theoretical density: 4.71 Mg/m³

a = 5.107 Å, b = 5.107 Å, c = 5.107 Å
α = 90.00°, β = 90.00°, γ = 90.00°
Positions (direct):
Sc: 0.000 0.000 0.000
Nb: 0.500 0.500 0.500
Br: 0.000 0.500 0.500
Br: 0.500 0.000 0.500
Br: 0.500 0.500 0.000

=====

No. 2
ScNbSeBr2 | GGA-PBEsol | relaxed

Calculated values
Crystal system: tetragonal
Theoretical density: 4.83 Mg/m³

a = 5.079 Å, b = 5.079 Å, c = 5.017 Å
α = 90.00°, β = 90.00°, γ = 90.00°
Positions (direct):
Sc: 0.000 0.000 0.000
Nb: 0.500 0.500 0.500
Se: 0.500 0.500 0.000
Br: 0.000 0.500 0.500
Br: 0.500 0.000 0.500

=====

No. 3
Nb3Se5Br7 | GGA-PBEsol | relaxed

Calculated values
Crystal system: monoclinic
Theoretical density: 5.05 Mg/m³

a = 7.803 Å, b = 12.958 Å, c = 8.412 Å
α = 90.00°, β = 107.56°, γ = 90.00°
Positions (direct):
Nb: 0.021 0.107 0.059
Nb: 0.021 0.393 0.059
Nb: 0.397 0.250 0.491
Nb: 0.603 0.750 0.509
Nb: 0.979 0.607 0.941
Nb: 0.979 0.893 0.941
Se: 0.192 0.026 0.863
Se: 0.192 0.474 0.863
Se: 0.280 0.531 0.137
Se: 0.280 0.969 0.137
Se: 0.417 0.250 0.768
Se: 0.583 0.750 0.232
Se: 0.720 0.031 0.863
Se: 0.720 0.469 0.863
Se: 0.808 0.526 0.137
Se: 0.808 0.974 0.137
Br: 0.052 0.750 0.191
Br: 0.132 0.113 0.405
Br: 0.132 0.387 0.405
Br: 0.194 0.750 0.864
Br: 0.296 0.250 0.136
Br: 0.387 0.613 0.525
Br: 0.387 0.887 0.525
Br: 0.613 0.113 0.475
Br: 0.613 0.387 0.475
Br: 0.704 0.750 0.864
Br: 0.806 0.250 0.136
Br: 0.868 0.613 0.595
Br: 0.868 0.887 0.595
Br: 0.948 0.250 0.809

=====

No. 4
NbSeBr3 | GGA-PBEsol | relaxed

Calculated values
Crystal system: monoclinic
Theoretical density: 4.84 Mg/m³

a = 6.556 Å, b = 6.950 Å, c = 12.557 Å
α = 90.00°, β = 99.55°, γ = 90.00°
Positions (direct):
Nb: 0.072 0.136 0.150
Nb: 0.072 0.864 0.650
Nb: 0.928 0.136 0.350
Nb: 0.928 0.864 0.850
Se: 0.168 0.404 0.300
Se: 0.168 0.596 0.800
Se: 0.832 0.404 0.200
Se: 0.832 0.596 0.700
Br: 0.157 0.186 0.542
Br: 0.157 0.814 0.042
Br: 0.253 0.071 0.808
Br: 0.253 0.929 0.308
Br: 0.371 0.288 0.077
Br: 0.371 0.712 0.577
Br: 0.629 0.288 0.423
Br: 0.629 0.712 0.923
Br: 0.747 0.071 0.692
Br: 0.747 0.929 0.192
Br: 0.843 0.186 0.958
Br: 0.843 0.814 0.458

=====

No. 5
NbSe2Br2 | GGA-PBEsol | relaxed

Calculated values
Crystal system: triclinic
Distance to the lowest polymorph of the same formula: 0.0 kJ per mole of atoms
Theoretical density: 5.24 Mg/m³

a = 6.596 Å, b = 6.687 Å, c = 7.517 Å
α = 67.62°, β = 68.34°, γ = 60.56°
Positions (direct):
Nb: 0.126 0.247 0.000
Nb: 0.874 0.753 0.000
Se: 0.076 0.595 0.678
Se: 0.264 0.462 0.129
Se: 0.736 0.538 0.871
Se: 0.924 0.405 0.322
Br: 0.166 0.982 0.775
Br: 0.419 0.850 0.225
Br: 0.581 0.150 0.775
Br: 0.834 0.018 0.225

=====

No. 6
NbSe2Br2 | GGA-PBEsol | relaxed

Calculated values
Crystal system: monoclinic
Distance to the lowest polymorph of the same formula: 0.2 kJ per mole of atoms
Theoretical density: 5.32 Mg/m³

a = 6.689 Å, b = 6.689 Å, c = 7.146 Å
α = 99.89°, β = 99.89°, γ = 121.09°
Positions (direct):
Nb: 0.127 0.873 0.000
Nb: 0.873 0.127 0.000
Se: 0.136 0.136 0.325
Se: 0.350 0.350 0.130
Se: 0.650 0.650 0.870
Se: 0.864 0.864 0.675
Br: 0.017 0.434 0.772
Br: 0.434 0.017 0.772
Br: 0.566 0.983 0.228
Br: 0.983 0.566 0.228

=====

No. 7
NbSnSe2Br | GGA-PBEsol | relaxed

Calculated values
Crystal system: tetragonal
Theoretical density: 5.31 Mg/m³

a = 5.202 Å, b = 5.202 Å, c = 5.194 Å
α = 90.00°, β = 90.00°, γ = 90.00°
Positions (direct):
Nb: 0.000 0.000 0.000
Sn: 0.500 0.500 0.500
Se: 0.000 0.500 0.500
Se: 0.500 0.000 0.500
Br: 0.500 0.500 0.000

=====

No. 8
ZrNbSe2Br | GGA-PBEsol | relaxed

Calculated values
Crystal system: tetragonal
Theoretical density: 5.68 Mg/m³

a = 4.974 Å, b = 4.974 Å, c = 4.983 Å
α = 90.00°, β = 90.00°, γ = 90.00°
Positions (direct):
Zr: 0.000 0.000 0.000
Nb: 0.500 0.500 0.500
Se: 0.000 0.500 0.500
Se: 0.500 0.000 0.500
Br: 0.500 0.500 0.000

=====

No. 9
NbSi2Br | GGA-PBEsol | relaxed

Calculated values
Crystal system: cubic
Theoretical density: 5.60 Mg/m³

a = 6.474 Å, b = 6.474 Å, c = 6.474 Å
α = 90.00°, β = 90.00°, γ = 90.00°
Positions (direct):
Nb: 0.000 0.000 0.000
Nb: 0.000 0.500 0.500
Nb: 0.500 0.000 0.500
Nb: 0.500 0.500 0.000
Si: 0.250 0.250 0.250
Si: 0.250 0.250 0.750
Si: 0.250 0.750 0.250
Si: 0.250 0.750 0.750
Si: 0.750 0.250 0.250
Si: 0.750 0.250 0.750
Si: 0.750 0.750 0.250
Si: 0.750 0.750 0.750
Br: 0.000 0.000 0.500
Br: 0.000 0.500 0.000
Br: 0.500 0.000 0.000
Br: 0.500 0.500 0.500

=====

No. 10
NbSiBr2 | GGA-PBEsol | relaxed

Calculated values
Crystal system: trigonal
Theoretical density: 5.14 Mg/m³

a = 3.195 Å, b = 3.195 Å, c = 30.798 Å
α = 90.00°, β = 90.00°, γ = 120.00°
Positions (direct):
Nb: 0.000 0.000 0.000
Nb: 0.333 0.667 0.667
Nb: 0.667 0.333 0.333
Si: 0.000 0.000 0.500
Si: 0.333 0.667 0.167
Si: 0.667 0.333 0.833
Br: 0.000 0.000 0.395
Br: 0.000 0.000 0.605
Br: 0.333 0.667 0.062
Br: 0.333 0.667 0.272
Br: 0.667 0.333 0.728
Br: 0.667 0.333 0.938

=====

No. 11
Nb2TeBr | GGA-PBEsol | relaxed

Calculated values
Crystal system: cubic
Theoretical density: 8.80 Mg/m³

a = 6.670 Å, b = 6.670 Å, c = 6.670 Å
α = 90.00°, β = 90.00°, γ = 90.00°
Positions (direct):
Nb: 0.250 0.250 0.250
Nb: 0.250 0.250 0.750
Nb: 0.250 0.750 0.250
Nb: 0.250 0.750 0.750
Nb: 0.750 0.250 0.250
Nb: 0.750 0.250 0.750
Nb: 0.750 0.750 0.250
Nb: 0.750 0.750 0.750
Te: 0.000 0.000 0.000
Te: 0.000 0.500 0.500
Te: 0.500 0.000 0.500
Te: 0.500 0.500 0.000
Br: 0.000 0.000 0.500
Br: 0.000 0.500 0.000
Br: 0.500 0.000 0.000
Br: 0.500 0.500 0.500

=====

No. 12
NbTeBr3 | GGA-PBEsol | relaxed

Calculated values
Crystal system: monoclinic
Theoretical density: 5.20 Mg/m³

a = 6.624 Å, b = 7.141 Å, c = 12.561 Å
α = 90.00°, β = 98.34°, γ = 90.00°
Positions (direct):
Nb: 0.070 0.145 0.148
Nb: 0.070 0.855 0.648
Nb: 0.930 0.145 0.352
Nb: 0.930 0.855 0.852
Te: 0.191 0.428 0.306
Te: 0.191 0.572 0.806
Te: 0.809 0.428 0.194
Te: 0.809 0.572 0.694
Br: 0.151 0.179 0.545
Br: 0.151 0.821 0.045
Br: 0.252 0.052 0.805
Br: 0.252 0.948 0.305
Br: 0.365 0.282 0.064
Br: 0.365 0.718 0.564
Br: 0.635 0.282 0.436
Br: 0.635 0.718 0.936
Br: 0.748 0.052 0.695
Br: 0.748 0.948 0.195
Br: 0.849 0.179 0.955
Br: 0.849 0.821 0.455

=====

Formation energy from raw total energies values (in eV per atom) by entry order: 0.044 -0.114 -0.764 -0.824 -0.765 -0.763 0.745 0.117 0.727 0.038 0.128 -0.745.